# 1
# Co2HgAu

A relaxed Co2HgAu crystal (GGA-PBE, the Alexandria database).

Cell: 8.941 8.941 8.941 Å, 18.49 18.49 18.49°
Sites, in units of the cell vectors:
Au 0.750 0.750 0.750
Co 0.002 0.002 0.002
Co 0.498 0.498 0.498
Hg 0.250 0.250 0.250

Results
The magnetic moment is 3.43 μB per formula unit. The value obtained for the density of states at the Fermi level is 6.003 states/eV per cell. The formation energy from the elements is 485 meV/atom.

---

# 2
# CoHg2Au

A relaxed CoHg2Au crystal (GGA-PBE, the Alexandria database).

Cell: 9.695 9.695 9.695 Å, 18.05 18.05 18.05°
Sites, in units of the cell vectors:
Au 0.489 0.489 0.489
Co 0.753 0.753 0.753
Hg 0.013 0.013 0.013
Hg 0.245 0.245 0.245

Results
The magnetic moment is 1.71 μB per formula unit. The polymorph energy (0 for the lowest one) comes out at 68 meV/atom. The value obtained for the density of states at the Fermi level is 3.495 states/eV per cell. The formation energy from the elements is 338 meV/atom.

---

# 3
# CoHgAu2

A relaxed CoHgAu2 crystal (GGA-PBE, the Alexandria database).

Cell: 5.094 5.094 2.865 Å, 90.00 90.00 110.82°
Sites, in units of the cell vectors:
Au 0.000 0.000 0.000
Au 0.500 0.500 0.000
Co 0.500 0.000 0.500
Hg 0.000 0.500 0.500

Results
The magnetic moment is 1.59 μB per formula unit. The value obtained for the density of states at the Fermi level is 3.564 states/eV per cell. The formation energy from the elements is 320 meV/atom.